{"formula": "K2Ta3MoO12", "functional": "PBE+U", "state": "relaxed", "lattice_angstrom": [[-5.190, 5.166, -1.255], [-5.246, -1.199, -5.123], [-7.018, -1.221, 2.111]], "species": ["K", "K", "Ta", "Ta", "Ta", "Mo", "O", "O", "O", "O", "O", "O", "O", "O", "O", "O", "O", "O"], "fractional_positions": [[0.619, 0.619, 0.619], [0.381, 0.381, 0.381], [0.500, 0.000, 0.000], [0.000, 0.500, 0.000], [0.000, 0.000, 0.500], [0.000, 0.000, 0.000], [0.315, 0.315, 0.937], [0.939, 0.939, 0.306], [0.306, 0.939, 0.939], [0.937, 0.315, 0.315], [0.939, 0.306, 0.939], [0.315, 0.937, 0.315], [0.685, 0.685, 0.063], [0.061, 0.061, 0.694], [0.694, 0.061, 0.061], [0.063, 0.685, 0.685], [0.061, 0.694, 0.061], [0.685, 0.063, 0.685]], "total_energy_ev_per_atom": -8.141, "spacegroup": "R-3m", "m_tot_mub_per_fu": 1.099}